Cd2BAsPb | PBEsol | relaxed

Properties
Total energy ... -15.86 eV/f.u.
ΔH_f (0 K) ... 0.531 eV/atom
Space group ... P4/mmm, No. 123

a b c (Å): 4.441 4.441 5.247
angles (deg): 90.00 90.00 90.00
Element x y z (fractional)
Cd1 0.000 0.500 0.000
Cd2 0.500 0.000 0.000
B1 0.000 0.000 0.000
As1 0.000 0.000 0.500
Pb1 0.500 0.500 0.500



CsNaW2 | PBEsol | relaxed

Properties
Total energy ... -18.53 eV/f.u.
ΔH_f (0 K) ... 2.856 eV/atom
Space group ... Fm-3m, No. 225

a b c (Å): 4.785 4.785 4.785
angles (deg): 60.00 60.00 60.00
Element x y z (fractional)
Cs1 0.000 0.000 0.000
Na1 0.500 0.500 0.500
W1 0.250 0.250 0.250
W2 0.750 0.750 0.750



AlFeCl2 | PBEsol | relaxed

Properties
Total energy ... -18.22 eV/f.u.
Formation energy without anion corrections ... -0.29 eV per atom
Excess energy over the best structure of this formula in the dataset ... 0.000 eV per atom
Space group ... C2/m, No. 12

a b c (Å): 6.960 6.960 3.602
angles (deg): 104.94 104.94 27.28
Element x y z (fractional)
Al1 0.000 0.000 0.000
Fe1 0.500 0.500 0.500
Cl1 0.139 0.139 0.639
Cl2 0.861 0.861 0.361



In2HgSe | PBEsol | relaxed

Properties
Total energy ... -11.07 eV/f.u.
Formation energy without anion corrections ... -0.17 eV per atom
Excess energy over the best structure of this formula in the dataset ... 0.090 eV per atom
Space group ... Imm2, No. 44

a b c (Å): 7.350 7.350 7.350
angles (deg): 149.63 148.82 44.08
Element x y z (fractional)
In1 0.000 0.000 0.000
In2 0.743 0.243 0.500
Hg1 0.412 0.412 0.000
Se1 0.156 0.656 0.500



TaAlHg2 | PBEsol | relaxed

Properties
Total energy ... -16.94 eV/f.u.
ΔH_f (0 K) ... 0.208 eV/atom
Space group ... R-3m, No. 166

a b c (Å): 9.473 9.473 9.473
angles (deg): 18.47 18.47 18.47
Element x y z (fractional)
Ta1 0.000 0.000 0.000
Al1 0.500 0.500 0.500
Hg1 0.248 0.248 0.248
Hg2 0.752 0.752 0.752



Y2MgCl | PBEsol | relaxed

Properties
Total energy ... -19.43 eV/f.u.
Formation energy without anion corrections ... -0.51 eV per atom
Excess energy over the best structure of this formula in the dataset ... 0.069 eV per atom
Space group ... C2/m, No. 12

a b c (Å): 5.586 5.586 6.184
angles (deg): 113.86 113.86 37.72
Element x y z (fractional)
Y1 0.204 0.204 0.216
Y2 0.796 0.796 0.784
Mg1 0.000 0.000 0.500
Cl1 0.500 0.500 0.000



CdInHg2O | PBEsol | relaxed

Properties
Total energy ... -10.40 eV/f.u.
Formation energy without anion corrections ... 0.03 eV per atom
Space group ... P4/mmm, No. 123

a b c (Å): 5.382 5.382 4.007
angles (deg): 90.00 90.00 90.00
Element x y z (fractional)
Cd1 0.000 0.000 0.000
In1 0.500 0.500 0.000
Hg1 0.000 0.500 0.500
Hg2 0.500 0.000 0.500
O1 0.500 0.500 0.500



RbGaOs2N | PBEsol | relaxed

Properties
Total energy ... -32.58 eV/f.u.
Formation energy without anion corrections ... 0.95 eV per atom
Space group ... P4/mmm, No. 123

a b c (Å): 3.981 3.981 5.463
angles (deg): 90.00 90.00 90.00
Element x y z (fractional)
Rb1 0.000 0.000 0.000
Ga1 0.500 0.500 0.000
Os1 0.000 0.500 0.500
Os2 0.500 0.000 0.500
N1 0.000 0.000 0.500



MnGa | PBEsol | relaxed

Properties
Total energy ... -13.16 eV/f.u.
ΔH_f (0 K) ... -0.029 eV/atom
Space group ... P-6m2, No. 187

a b c (Å): 2.690 2.690 4.015
angles (deg): 90.00 90.00 120.00
Element x y z (fractional)
Mn1 0.000 0.000 0.000
Ga1 0.667 0.333 0.500



HgAs2 | PBEsol | relaxed

Properties
Total energy ... -10.17 eV/f.u.
ΔH_f (0 K) ... 0.205 eV/atom
Space group ... C2/m, No. 12

a b c (Å): 6.222 6.222 6.709
angles (deg): 104.99 104.99 32.85
Element x y z (fractional)
Hg1 0.001 0.001 0.258
Hg2 0.999 0.999 0.742
As1 0.297 0.297 0.649
As2 0.298 0.298 0.148
As3 0.702 0.702 0.852
As4 0.703 0.703 0.351



OsRuRh2 | PBEsol | relaxed

Properties
Total energy ... -38.37 eV/f.u.
ΔH_f (0 K) ... 0.073 eV/atom
Excess energy over the best structure of this formula in the dataset ... 0.039 eV per atom
Space group ... Cmmm, No. 65

a b c (Å): 4.664 4.664 2.656
angles (deg): 90.00 90.00 110.59
Element x y z (fractional)
Os1 0.000 0.000 0.000
Ru1 0.500 0.500 0.000
Rh1 0.000 0.500 0.500
Rh2 0.500 0.000 0.500



ZnGa2F | PBEsol | relaxed

Properties
Total energy ... -12.10 eV/f.u.
Formation energy without anion corrections ... -0.48 eV per atom
Space group ... Fm-3m, No. 225

a b c (Å): 4.412 4.412 4.412
angles (deg): 60.00 60.00 60.00
Element x y z (fractional)
Zn1 0.000 0.000 0.000
Ga1 0.250 0.250 0.250
Ga2 0.750 0.750 0.750
F1 0.500 0.500 0.500



Q: Among the records above, which one has the highest total energy?
A: HgAs2



Q: Among the records above, which one has the highest total energy?
A: HgAs2



Q: Which value of total energy does entry 2 give?
A: -18.53 eV/f.u.